(1)
{
  "formula": "AlSbPO2",
  "functional": "PBE",
  "state": "relaxed",
  "e_above_lowest_polymorph_mev_per_atom": 0,
  "sg": "P4/mmm, No. 123",
  "formation_energy_uncorrected_ev_per_fu": -4.411,
  "lattice": [[-1.6581, -3.2084, -0.9348], [1.8266, -1.7440, 2.7457], [-3.8027, 1.0364, 3.1882]],
  "species": ["Sb", "Al", "O", "O", "P"],
  "frac_coords": [[0.5000, 0.5000, 0.5000], [0.0000, 0.0000, 0.0000], [0.0000, 0.5000, 0.0000], [0.5000, 0.0000, 0.0000], [0.0000, 0.0000, 0.5000]]
}



(2)
{
  "formula": "AlSbPO2",
  "functional": "PBE",
  "state": "relaxed",
  "e_above_lowest_polymorph_mev_per_atom": 428,
  "sg": "P4/mmm, No. 123",
  "formation_energy_uncorrected_ev_per_fu": -2.271,
  "lattice": [[-3.1678, 0.8575, -2.1493], [-2.2593, -1.9343, 2.5581], [-0.6756, 4.4589, 2.7748]],
  "species": ["Sb", "Al", "O", "O", "P"],
  "frac_coords": [[0.0000, 0.0000, 0.0000], [0.5000, 0.5000, 0.5000], [0.0000, 0.5000, 0.0000], [0.5000, 0.0000, 0.0000], [0.0000, 0.0000, 0.5000]]
}



(3)
{
  "formula": "AlSbP2O",
  "functional": "PBE",
  "state": "relaxed",
  "e_above_lowest_polymorph_mev_per_atom": 0,
  "sg": "P4/mmm, No. 123",
  "formation_energy_uncorrected_ev_per_fu": -1.397,
  "lattice": [[5.0229, 0.0000, 0.0000], [0.0000, 5.0229, 0.0000], [0.0000, 0.0000, 3.4311]],
  "species": ["Sb", "Al", "O", "P", "P"],
  "frac_coords": [[0.5000, 0.5000, 0.5000], [0.0000, 0.0000, 0.0000], [0.0000, 0.0000, 0.5000], [0.0000, 0.5000, 0.0000], [0.5000, 0.0000, 0.0000]]
}



(4)
{
  "formula": "AlSbP2O",
  "functional": "PBE",
  "state": "relaxed",
  "e_above_lowest_polymorph_mev_per_atom": 676,
  "sg": "P4/mmm, No. 123",
  "formation_energy_uncorrected_ev_per_fu": 1.984,
  "lattice": [[5.0815, 0.0000, 0.0000], [0.0000, 5.0815, 0.0000], [0.0000, 0.0000, 3.8942]],
  "species": ["Sb", "Al", "O", "P", "P"],
  "frac_coords": [[0.0000, 0.0000, 0.0000], [0.5000, 0.5000, 0.5000], [0.0000, 0.0000, 0.5000], [0.0000, 0.5000, 0.0000], [0.5000, 0.0000, 0.0000]]
}



(5)
{
  "formula": "ScAlP2O",
  "functional": "PBE",
  "state": "relaxed",
  "e_above_lowest_polymorph_mev_per_atom": 489,
  "sg": "P4/mmm, No. 123",
  "formation_energy_uncorrected_ev_per_fu": -1.196,
  "lattice": [[5.1431, 0.0000, 0.0000], [0.0000, 5.1431, 0.0000], [0.0000, 0.0000, 3.8111]],
  "species": ["Sc", "P", "P", "Al", "O"],
  "frac_coords": [[0.0000, 0.0000, 0.0000], [0.0000, 0.5000, 0.0000], [0.5000, 0.0000, 0.0000], [0.5000, 0.5000, 0.5000], [0.0000, 0.0000, 0.5000]]
}



(6)
{
  "formula": "ScAlP2O",
  "functional": "PBE",
  "state": "relaxed",
  "e_above_lowest_polymorph_mev_per_atom": 0,
  "sg": "P4/mmm, No. 123",
  "formation_energy_uncorrected_ev_per_fu": -3.641,
  "lattice": [[-2.5315, -3.4751, 2.5035], [3.7824, -3.1783, -0.5872], [1.3614, 1.0871, 2.8856]],
  "species": ["Sc", "P", "P", "Al", "O"],
  "frac_coords": [[0.5000, 0.5000, 0.5000], [0.0000, 0.5000, 0.0000], [0.5000, 0.0000, 0.0000], [0.0000, 0.0000, 0.0000], [0.0000, 0.0000, 0.5000]]
}



(7)
{
  "formula": "AlPSeO2",
  "functional": "PBE",
  "state": "relaxed",
  "e_above_lowest_polymorph_mev_per_atom": 0,
  "sg": "P4/mmm, No. 123",
  "formation_energy_uncorrected_ev_per_fu": -4.104,
  "lattice": [[-3.3289, -0.5310, -1.0310], [-0.9012, -0.7880, 3.3157], [-1.4467, 6.7279, 1.2058]],
  "species": ["O", "O", "P", "Al", "Se"],
  "frac_coords": [[0.0000, 0.5000, 0.0000], [0.5000, 0.0000, 0.0000], [0.0000, 0.0000, 0.5000], [0.0000, 0.0000, 0.0000], [0.5000, 0.5000, 0.5000]]
}



(8)
{
  "formula": "AlP2SeO",
  "functional": "PBE",
  "state": "relaxed",
  "e_above_lowest_polymorph_mev_per_atom": 0,
  "sg": "P4/mmm, No. 123",
  "formation_energy_uncorrected_ev_per_fu": -0.670,
  "lattice": [[-4.3046, -1.7163, 1.6004], [2.3439, -3.3078, 2.7570], [0.0800, 2.2242, 2.6005]],
  "species": ["O", "P", "P", "Al", "Se"],
  "frac_coords": [[0.0000, 0.0000, 0.5000], [0.0000, 0.5000, 0.0000], [0.5000, 0.0000, 0.0000], [0.0000, 0.0000, 0.0000], [0.5000, 0.5000, 0.5000]]
}



(9)
{
  "formula": "AlPSeO2",
  "functional": "PBE",
  "state": "relaxed",
  "e_above_lowest_polymorph_mev_per_atom": 762,
  "sg": "P4/mmm, No. 123",
  "formation_energy_uncorrected_ev_per_fu": -0.295,
  "lattice": [[-3.1028, -1.6861, -1.3658], [1.8330, -0.7611, -3.2244], [1.5301, -4.3525, 1.8972]],
  "species": ["O", "O", "P", "Al", "Se"],
  "frac_coords": [[0.0000, 0.5000, 0.0000], [0.5000, 0.0000, 0.0000], [0.0000, 0.0000, 0.5000], [0.5000, 0.5000, 0.5000], [0.0000, 0.0000, 0.0000]]
}



(10)
{
  "formula": "AlP2SeO",
  "functional": "PBE",
  "state": "relaxed",
  "e_above_lowest_polymorph_mev_per_atom": 631,
  "sg": "P4/mmm, No. 123",
  "formation_energy_uncorrected_ev_per_fu": 2.485,
  "lattice": [[-0.2561, 4.2787, -2.2335], [1.7250, -2.0077, -4.0441], [-3.4504, -0.7742, -1.0874]],
  "species": ["O", "P", "P", "Al", "Se"],
  "frac_coords": [[0.0000, 0.0000, 0.5000], [0.0000, 0.5000, 0.0000], [0.5000, 0.0000, 0.0000], [0.5000, 0.5000, 0.5000], [0.0000, 0.0000, 0.0000]]
}



(11)
{
  "formula": "SmAlP2O8",
  "functional": "PBE",
  "state": "relaxed",
  "sg": "P-3m1, No. 164",
  "formation_energy_uncorrected_ev_per_fu": -32.941,
  "lattice": [[5.0362, 0.0000, 0.0000], [-2.5181, 4.3615, 0.0000], [0.0000, 0.0000, 6.5171]],
  "species": ["Sm", "Al", "P", "P", "O", "O", "O", "O", "O", "O", "O", "O"],
  "frac_coords": [[0.0000, 0.0000, 0.5000], [0.0000, 0.0000, 0.0000], [0.3333, 0.6667, 0.7405], [0.6667, 0.3333, 0.2595], [0.1654, 0.3308, 0.8145], [0.1654, 0.8346, 0.8145], [0.6692, 0.8346, 0.8145], [0.3308, 0.1654, 0.1855], [0.6667, 0.3333, 0.4952], [0.3333, 0.6667, 0.5048], [0.8346, 0.6692, 0.1855], [0.8346, 0.1654, 0.1855]]
}



(12)
{
  "formula": "AlSnP2O",
  "functional": "PBE",
  "state": "relaxed",
  "e_above_lowest_polymorph_mev_per_atom": 0,
  "sg": "P4/mmm, No. 123",
  "formation_energy_uncorrected_ev_per_fu": -1.652,
  "lattice": [[-2.6502, 4.3059, 0.3309], [-2.3376, -1.2741, -2.1426], [-2.5763, -1.8880, 3.9335]],
  "species": ["P", "P", "Sn", "O", "Al"],
  "frac_coords": [[0.0000, 0.0000, 0.5000], [0.5000, 0.0000, 0.0000], [0.5000, 0.5000, 0.5000], [0.0000, 0.5000, 0.0000], [0.0000, 0.0000, 0.0000]]
}